Arrangement P

Entry from Alexandria: NaW2O6 after structural relaxation (PBE with a Hubbard U).

Unit cell a=7.793 b=7.793 c=7.773 alpha=90.00 beta=90.00 gamma=90.00
Space group I4/mmm (No. 139)
Asymmetric unit:
Na (0.000, 0.000, 0.000) (multiplicity 2)
Na (0.000, 0.000, 0.500) (multiplicity 2)
W (0.250, 0.250, 0.250) (multiplicity 8)
O (0.000, 0.246, 0.230) (multiplicity 16)
O (0.230, 0.230, 0.500) (multiplicity 8)

Arrangement Q

Entry from Alexandria: NaW2O6 after structural relaxation (PBE with a Hubbard U).

Unit cell a=5.3497 b=5.3497 c=5.1304 alpha=90.00 beta=90.00 gamma=120.00
Space group P-31m (No. 162)
Asymmetric unit:
Na (0.0000, 0.0000, 0.0000) (multiplicity 1)
W (0.3333, 0.6667, 0.5000) (multiplicity 2)
O (0.0000, 0.3755, 0.2947) (multiplicity 6)

Arrangement R

Entry from Alexandria: NaW2O6 after structural relaxation (PBE with a Hubbard U).

Unit cell a=9.957 b=3.904 c=7.336 alpha=90.00 beta=114.53 gamma=90.00
Space group C2/m (No. 12)
Asymmetric unit:
Na (0.000, 0.000, 0.000) (multiplicity 2)
W (0.177, 0.000, 0.622) (multiplicity 4)
O (0.009, 0.000, 0.677) (multiplicity 4)
O (0.173, 0.500, 0.138) (multiplicity 4)
O (0.198, 0.500, 0.560) (multiplicity 4)

The energy of each structure relative to the most stable one, in meV/atom, is as follows: arrangement P 0; arrangement Q 80; arrangement R 120.

Arrangement P

Entry from Alexandria: Na3W4O12 after structural relaxation (PBE with a Hubbard U).

Unit cell a=11.089 b=7.806 c=11.089 alpha=90.00 beta=90.17 gamma=90.00
Space group Cm (No. 8)
Asymmetric unit:
Na (0.000, 0.000, 0.000) (multiplicity 2)
Na (0.000, 0.500, 0.001) (multiplicity 2)
Na (0.247, 0.000, 0.750) (multiplicity 2)
Na (0.250, 0.500, 0.254) (multiplicity 2)
Na (0.251, 0.000, 0.254) (multiplicity 2)
Na (0.499, 0.000, 0.505) (multiplicity 2)
W (0.000, 0.249, 0.751) (multiplicity 4)
W (0.249, 0.251, 0.505) (multiplicity 4)
W (0.250, 0.251, 0.000) (multiplicity 4)
W (0.499, 0.252, 0.254) (multiplicity 4)
O (0.003, 0.500, 0.778) (multiplicity 2)
O (0.005, 0.000, 0.277) (multiplicity 2)
O (0.110, 0.275, 0.616) (multiplicity 4)
O (0.111, 0.224, 0.112) (multiplicity 4)
O (0.135, 0.213, 0.861) (multiplicity 4)
O (0.137, 0.279, 0.359) (multiplicity 4)
O (0.226, 0.500, 0.993) (multiplicity 2)
O (0.229, 0.000, 0.498) (multiplicity 2)
O (0.267, 0.500, 0.505) (multiplicity 2)
O (0.276, 0.000, 0.015) (multiplicity 2)
O (0.363, 0.216, 0.646) (multiplicity 4)
O (0.363, 0.283, 0.145) (multiplicity 4)
O (0.386, 0.217, 0.389) (multiplicity 4)
O (0.391, 0.270, 0.893) (multiplicity 4)
O (0.494, 0.500, 0.729) (multiplicity 2)
O (0.495, 0.000, 0.223) (multiplicity 2)

Arrangement Q

Entry from Alexandria: Na3W4O12 after structural relaxation (PBE with a Hubbard U).

Unit cell a=7.806 b=7.809 c=7.853 alpha=90.00 beta=90.00 gamma=90.00
Space group Immm (No. 71)
Asymmetric unit:
Na (0.000, 0.000, 0.000) (multiplicity 2)
Na (0.000, 0.000, 0.500) (multiplicity 2)
Na (0.000, 0.500, 0.000) (multiplicity 2)
W (0.250, 0.250, 0.250) (multiplicity 8)
O (0.000, 0.222, 0.275) (multiplicity 8)
O (0.221, 0.231, 0.000) (multiplicity 8)
O (0.222, 0.500, 0.227) (multiplicity 8)

The energy of each structure relative to the most stable one, in meV/atom, is as follows: arrangement P 0; arrangement Q 23.

Arrangement P

Entry from Alexandria: Na2W3O10 after structural relaxation (PBE with a Hubbard U).

Unit cell a=14.103 b=8.399 c=8.041 alpha=90.00 beta=99.29 gamma=90.00
Space group C2/c (No. 15)
Asymmetric unit:
Na (0.171, 0.064, 0.171) (multiplicity 8)
W (0.000, 0.192, 0.750) (multiplicity 4)
W (0.105, 0.410, 0.488) (multiplicity 8)
O (0.029, 0.397, 0.918) (multiplicity 8)
O (0.066, 0.061, 0.899) (multiplicity 8)
O (0.111, 0.315, 0.294) (multiplicity 8)
O (0.118, 0.238, 0.649) (multiplicity 8)
O (0.220, 0.499, 0.547) (multiplicity 8)

Arrangement Q

Entry from Alexandria: Na2W3O10 after structural relaxation (PBE with a Hubbard U).

Unit cell a=18.291 b=6.022 c=8.419 alpha=90.00 beta=110.70 gamma=90.00
Space group C2/m (No. 12)
Asymmetric unit:
Na (0.091, 0.000, 0.125) (multiplicity 4)
Na (0.224, 0.000, 0.939) (multiplicity 4)
W (0.000, 0.251, 0.500) (multiplicity 4)
W (0.093, 0.500, 0.035) (multiplicity 4)
W (0.190, 0.500, 0.535) (multiplicity 4)
O (0.000, 0.294, 0.000) (multiplicity 4)
O (0.016, 0.000, 0.659) (multiplicity 4)
O (0.019, 0.500, 0.664) (multiplicity 4)
O (0.108, 0.277, 0.527) (multiplicity 8)
O (0.136, 0.500, 0.268) (multiplicity 4)
O (0.145, 0.271, 0.982) (multiplicity 8)
O (0.235, 0.500, 0.758) (multiplicity 4)
O (0.250, 0.250, 0.500) (multiplicity 4)

The energy of each structure relative to the most stable one, in meV/atom, is as follows: arrangement P 0; arrangement Q 38.